[1]
Below is a relaxed LaNdNiRh crystal, with properties calculated at the PBE level.

Cell: 5.0186 5.0186 5.0186 Å, 60.00 60.00 60.00°
Closest atoms and distances in Å follow each position.
Sites, in units of the cell vectors:
La 0.5000 0.5000 0.5000  4 Rh 3.07, 4 Ni 3.07
Nd 0.0000 0.0000 0.0000  4 Rh 3.07, 4 Ni 3.07
Ni 0.2500 0.2500 0.2500  4 La 3.07, 4 Nd 3.07
Rh 0.7500 0.7500 0.7500  4 Nd 3.07, 4 La 3.07

Values from the calculation:
Final energy (eV/atom): -6.16
Total magnetization (μB per atom): 0.0000
Symmetry: No. 216
ΔE to the lowest computed polymorph (meV/atom): 83
ΔH_f (0 K) (eV per formula unit): -1.82

[2]
Below is a relaxed Sb4Te5I crystal, with properties calculated at the PBE level.

Cell: 8.3499 8.5177 10.9983 Å, 90.00 90.00 90.00°
Closest atoms and distances in Å follow each position.
Sites, in units of the cell vectors:
Te 0.7931 0.5000 0.0000  2 Sb 2.90
Te 0.2643 0.7528 0.2105  2 Sb 2.83-2.96
Sb 0.5543 0.6769 0.5000  2 Te 2.83, 1 Sb 3.01
Te 0.2643 0.2472 0.2105  2 Sb 2.83-2.96
Te 0.7357 0.7472 0.7105  2 Sb 2.83-2.96
Te 0.2643 0.2472 0.7895  2 Sb 2.83-2.96
Sb 0.4457 0.1769 0.0000  2 Te 2.83, 1 Sb 3.01
Sb 0.5543 0.3231 0.5000  2 Te 2.83, 1 Sb 3.01
Sb 0.0288 0.0000 0.2734  3 Te 2.90-2.96
Sb 0.9712 0.5000 0.7734  3 Te 2.90-2.96
Te 0.7357 0.2528 0.2895  2 Sb 2.83-2.96
Sb 0.0288 0.0000 0.7266  3 Te 2.90-2.96
Te 0.7357 0.2528 0.7105  2 Sb 2.83-2.96
Sb 0.4457 0.8231 0.0000  2 Te 2.83, 1 Sb 3.01
Te 0.7357 0.7472 0.2895  2 Sb 2.83-2.96
I 0.1281 0.5000 0.5000  2 Sb 3.28
Sb 0.9712 0.5000 0.2266  3 Te 2.90-2.96
Te 0.2069 0.0000 0.5000  2 Sb 2.90
I 0.8719 0.0000 0.0000  2 Sb 3.28
Te 0.2643 0.7528 0.7895  2 Sb 2.83-2.96

Values from the calculation:
Final energy (eV/atom): -3.36
Total magnetization (μB per atom): 0.0000
Symmetry: No. 59
Raw formation energy (eV/atom): 0.0127

[3]
Below is a relaxed PaCdPb2 crystal, with properties calculated at the PBE level.

Cell: 3.3195 3.3195 12.0582 Å, 82.09 82.09 60.00°
Closest atoms and distances in Å follow each position.
Sites, in units of the cell vectors:
Pb 0.0913 0.0913 0.7262  1 Pa 3.26, 3 Cd 3.30, 6 Pb 3.32
Pb 0.9087 0.9087 0.2738  1 Pa 3.26, 3 Cd 3.30, 6 Pb 3.32
Pa 0.0000 0.0000 0.0000  2 Pb 3.26, 6 Pa 3.32
Cd 0.5000 0.5000 0.5000  6 Pb 3.30, 6 Cd 3.32

Values from the calculation:
Final energy (eV/atom): -4.13
Total magnetization (μB per atom): 0.0563
Symmetry: No. 166
ΔE to the lowest computed polymorph (meV/atom): 348
ΔH_f (0 K) (eV per formula unit): 1.29

[4]
Below is a relaxed Th2MnGa crystal, with properties calculated at the PBE level.

Cell: 3.3090 3.3090 10.8152 Å, 81.20 81.20 60.00°
Closest atoms and distances in Å follow each position.
Sites, in units of the cell vectors:
Mn 0.0000 0.0000 0.0000  2 Th 2.74
Th 0.0859 0.0859 0.7422  1 Mn 2.74
Ga 0.5000 0.5000 0.5000  6 Th 3.21, 6 Ga 3.31
Th 0.9141 0.9141 0.2578  1 Mn 2.74

Values from the calculation:
Final energy (eV/atom): -6.35
Total magnetization (μB per atom): 0.6546
Symmetry: No. 166
ΔE to the lowest computed polymorph (meV/atom): 473
ΔH_f (0 K) (eV per formula unit): 1.64

[5]
Below is a relaxed SrSm2In crystal, with properties calculated at the PBE level.

Cell: 5.3696 5.3696 6.8267 Å, 66.84 66.84 60.00°
Closest atoms and distances in Å follow each position.
Sites, in units of the cell vectors:
In 0.6867 0.6867 0.9400  6 Sm 3.13-3.38
Sm 0.2789 0.2789 0.1632  3 In 3.38, 3 Sm 3.58
Sm 0.0440 0.0440 0.8679  3 In 3.13
Sr 0.4903 0.4903 0.5290  4 In 3.58-3.98, 7 Sm 3.72-3.86

Values from the calculation:
Final energy (eV/atom): -3.44
Total magnetization (μB per atom): 0.1979
Symmetry: No. 160
ΔE to the lowest computed polymorph (meV/atom): 165
ΔH_f (0 K) (eV per formula unit): 0.11

[6]
Below is a relaxed ZrTeSe2N crystal, with properties calculated at the PBE level.

Cell: 5.4015 5.4015 4.0235 Å, 90.00 90.00 90.00°
Closest atoms and distances in Å follow each position.
Sites, in units of the cell vectors:
N 0.0000 0.0000 0.5000  2 Zr 2.01
Te 0.5000 0.5000 0.5000  8 Se 3.37
Zr 0.0000 0.0000 0.0000  2 N 2.01
Se 0.5000 0.0000 0.0000  2 Zr 2.70
Se 0.0000 0.5000 0.0000  2 Zr 2.70

Values from the calculation:
Final energy (eV/atom): -5.39
Total magnetization (μB per atom): 0.0003
Symmetry: No. 123
ΔE to the lowest computed polymorph (meV/atom): 0
Raw formation energy (eV/atom): 0.0024

Which of these has the lowest final energy? Th2MnGa

Which of these has the lowest final energy? Th2MnGa